# PBE Sr2MgP3Pd4, relaxed
# Symmetry   P-4m2
# Theoretical density   6313 kg/m3
# DFT formation energy   -0.786 eV/atom
# Volume   18.89 A^3/atom
# Uncorrected energy   -49.8 eV per cell
# Total magnetization   0.00 μB/cell
data_Sr2MgP3Pd4
_space_group_name_H-M_alt 'P 1'
_space_group_IT_number 1
_cell_length_a 4.256
_cell_length_b 4.256
_cell_length_c 10.428
_cell_angle_alpha 90.00
_cell_angle_beta 90.00
_cell_angle_gamma 90.00
loop_
_space_group_symop_operation_xyz
'x,y,z'
loop_
_atom_site_label
_atom_site_type_symbol
_atom_site_fract_x
_atom_site_fract_y
_atom_site_fract_z
Sr1 Sr 0.500 0.000 0.239
Sr2 Sr 0.000 0.500 0.761
Mg1 Mg 0.500 0.500 0.500
P1 P 0.000 0.000 0.500
P2 P 0.500 0.000 0.872
P3 P 0.000 0.500 0.128
Pd1 Pd 0.500 0.500 0.000
Pd2 Pd 0.000 0.000 0.000
Pd3 Pd 0.500 0.000 0.641
Pd4 Pd 0.000 0.500 0.359